--- a ---
The following is a PBE calculation of CrIn3Ge after structural relaxation, from the Alexandria database.

Unit cell a=5.163 b=5.163 c=5.163 alpha=90.00 beta=90.00 gamma=90.00
Each line ends with the local moment (μB).
Fractional coordinates of all 5 atoms:
Cr  0.000  0.000  0.000  2.93
Ge  0.500  0.500  0.500  -0.05
In  0.000  0.500  0.000  -0.01
In  0.000  0.000  0.500  0.03
In  0.500  0.000  0.000  -0.06

Calculated values
DOS at the Fermi energy in states/eV per atom: 0.779
Space-group type: Pm-3m

***

--- b ---
The following is a PBE calculation of CrIn3Ge after structural relaxation, from the Alexandria database.

Unit cell a=5.347 b=5.347 c=5.347 alpha=90.00 beta=90.00 gamma=90.00
Each line ends with the local moment (μB).
Fractional coordinates of all 5 atoms:
Cr  0.500  0.500  0.500  4.20
Ge  0.000  0.000  0.000  0.01
In  0.000  0.500  0.000  -0.03
In  0.000  0.000  0.500  0.00
In  0.500  0.000  0.000  -0.03

Calculated values
DOS at the Fermi energy in states/eV per atom: 0.779
Space-group type: Pm-3m

***

Most favorable first, least favorable last: a, b